This record from Alexandria describes an optimized crystal structure of Pr3Cd3Au8. The functional is PBE-GGA.

Computed properties:
Calculated density ... 12.13 g/cm3

Cell and atoms, written as POSCAR:
```
Pr3Cd3Au8
1.0
-2.277 5.063 6.933
2.277 -5.063 6.933
2.277 5.063 -6.933
Pr Cd Au
3 3 8
Direct
0.000 0.000 0.000
0.289 0.289 0.000
0.711 0.711 0.000
0.311 0.500 0.811
0.500 0.000 0.500
0.689 0.500 0.189
0.021 0.655 0.366
0.155 0.860 0.295
0.289 0.655 0.634
0.435 0.140 0.295
0.565 0.860 0.705
0.711 0.345 0.366
0.845 0.140 0.705
0.979 0.345 0.634
```

=====

This record from Alexandria describes an optimized crystal structure of PrCd5Au3. The functional is PBE-GGA.

Computed properties:
Calculated density ... 10.14 g/cm3

Cell and atoms, written as POSCAR:
```
PrCd5Au3
1.0
2.001 -7.592 0.000
2.001 7.592 0.000
0.000 0.000 13.954
Pr Cd Au
2 10 6
Direct
0.180 0.820 0.750
0.820 0.180 0.250
0.000 0.000 0.000
0.000 0.000 0.500
0.194 0.806 0.053
0.194 0.806 0.447
0.444 0.556 0.647
0.444 0.556 0.853
0.556 0.444 0.147
0.556 0.444 0.353
0.806 0.194 0.553
0.806 0.194 0.947
0.159 0.841 0.250
0.379 0.621 0.085
0.379 0.621 0.415
0.621 0.379 0.585
0.621 0.379 0.915
0.841 0.159 0.750
```

=====

This record from Alexandria describes an optimized crystal structure of PrCd3Au3. The functional is PBE-GGA.

Computed properties:
Calculated density ... 10.33 g/cm3

Cell and atoms, written as POSCAR:
```
PrCd3Au3
1.0
4.176 2.411 5.690
-4.176 2.411 5.690
0.000 -4.822 5.690
Pr Cd Au
2 6 6
Direct
0.165 0.165 0.165
0.835 0.835 0.835
0.046 0.371 0.710
0.290 0.954 0.629
0.371 0.710 0.046
0.629 0.290 0.954
0.710 0.046 0.371
0.954 0.629 0.290
0.162 0.740 0.455
0.260 0.545 0.838
0.455 0.162 0.740
0.545 0.838 0.260
0.740 0.455 0.162
0.838 0.260 0.545
```

=====

This record from Alexandria describes an optimized crystal structure of PrCd3Au3. The functional is PBE-GGA.

Computed properties:
Calculated density ... 11.37 g/cm3

Cell and atoms, written as POSCAR:
```
PrCd3Au3
1.0
8.665 0.000 0.000
0.000 4.785 0.000
-4.328 0.000 7.530
Pr Cd Au
2 6 6
Direct
0.167 0.250 0.333
0.833 0.750 0.667
0.267 0.250 0.988
0.278 0.750 0.767
0.489 0.750 0.222
0.511 0.250 0.778
0.722 0.250 0.233
0.733 0.750 0.012
0.041 0.250 0.613
0.113 0.750 0.072
0.427 0.750 0.540
0.573 0.250 0.460
0.887 0.250 0.928
0.959 0.750 0.387
```

=====

This record from Alexandria describes an optimized crystal structure of Pr4CdAu3. The functional is PBE-GGA.

Computed properties:
Calculated density ... 9.46 g/cm3

Cell and atoms, written as POSCAR:
```
Pr4CdAu3
1.0
3.958 0.000 0.000
0.000 4.874 0.000
0.000 0.000 11.530
Pr Cd Au
4 1 3
Direct
0.000 0.000 0.000
0.000 0.500 0.268
0.500 0.000 0.485
0.500 0.500 0.776
0.000 0.000 0.711
0.000 0.500 0.547
0.500 0.000 0.216
0.500 0.500 0.050
```

=====

This record from Alexandria describes an optimized crystal structure of Pr3Cd2Au4. The functional is PBE-GGA.

Computed properties:
Calculated density ... 10.82 g/cm3

Cell and atoms, written as POSCAR:
```
Pr3Cd2Au4
1.0
5.630 -2.406 0.000
5.630 2.406 0.000
-4.205 0.000 8.136
Pr Cd Au
3 2 4
Direct
0.000 0.000 0.000
0.352 0.352 0.312
0.648 0.648 0.688
0.353 0.353 0.686
0.647 0.647 0.314
0.068 0.068 0.400
0.278 0.278 0.939
0.722 0.722 0.061
0.932 0.932 0.600
```

=====

| no. | E_form (eV per atom) | M_tot (Bohr magnetons per cell) |
| --- | --- | --- |
| 1 | -0.54 | 0.00 |
| 2 | -0.30 | 0.00 |
| 3 | -0.34 | 0.00 |
| 4 | -0.40 | 0.00 |
| 5 | -0.64 | 0.00 |
| 6 | -0.65 | 0.00 |